(1)
Computed, not measured: a crystal of TaZnCd2 relaxed with PBEsol at the SCAN level of DFT.

Crystal system: orthorhombic
D(E_F) (states/eV per atom): 0.464
Calculated formation energy (eV/atom): 0.296
Calculated total energy (eV/atom): -34.936
Energy relative to the lowest polymorph listed for this composition (eV/f.u.): 0.37

Unit cell a=2.7721 b=5.2370 c=10.0515 alpha=90.00 beta=90.00 gamma=90.00
Space group Imm2 (No. 44)
Asymmetric unit:
Ta1 0.0000 0.0000 0.0000 [2 per cell]
Zn1 0.0000 0.5000 0.7349 [2 per cell]
Cd1 0.0000 0.0000 0.4775 [2 per cell]
Cd2 0.0000 0.5000 0.2381 [2 per cell]



(2)
Computed, not measured: a crystal of TaZnCd2 relaxed with PBEsol at the SCAN level of DFT.

Crystal system: orthorhombic
D(E_F) (states/eV per atom): 0.423
Calculated formation energy (eV/atom): 0.290
Calculated total energy (eV/atom): -34.942
Energy relative to the lowest polymorph listed for this composition (eV/f.u.): 0.34

Unit cell a=2.7942 b=5.0380 c=10.0886 alpha=90.00 beta=90.00 gamma=90.00
Space group Immm (No. 71)
Asymmetric unit:
Ta1 0.0000 0.0000 0.0000 [2 per cell]
Zn1 0.0000 0.0000 0.5000 [2 per cell]
Cd1 0.0000 0.5000 0.2355 [4 per cell]



(3)
Computed, not measured: a crystal of TaZnCd2 relaxed with PBEsol at the SCAN level of DFT.

Crystal system: monoclinic
D(E_F) (states/eV per atom): 0.592
Calculated formation energy (eV/atom): 0.278
Calculated total energy (eV/atom): -34.954
Energy relative to the lowest polymorph listed for this composition (eV/f.u.): 0.29

Unit cell a=2.8884 b=4.4879 c=5.6021 alpha=90.00 beta=102.50 gamma=90.00
Space group P2/m (No. 10)
Asymmetric unit:
Ta1 0.0000 0.0000 0.0000 [1 per cell]
Zn1 0.5000 0.0000 0.5000 [1 per cell]
Cd1 0.3580 0.5000 0.7441 [2 per cell]



(4)
Computed, not measured: a crystal of TaZnCd2 relaxed with PBEsol at the SCAN level of DFT.

Crystal system: tetragonal
D(E_F) (states/eV per atom): 0.326
Calculated formation energy (eV/atom): 0.205
Calculated total energy (eV/atom): -35.027
Energy relative to the lowest polymorph listed for this composition (eV/f.u.): 0.00

Unit cell a=4.0627 b=4.0627 c=4.2217 alpha=90.00 beta=90.00 gamma=90.00
Space group P4/mmm (No. 123)
Asymmetric unit:
Ta1 0.0000 0.0000 0.0000 [1 per cell]
Zn1 0.5000 0.5000 0.0000 [1 per cell]
Cd1 0.0000 0.5000 0.5000 [2 per cell]



(5)
Computed, not measured: a crystal of TaZn2Cd relaxed with PBEsol at the SCAN level of DFT.

Crystal system: tetragonal
D(E_F) (states/eV per atom): 0.295
Calculated formation energy (eV/atom): 0.072
Calculated total energy (eV/atom): -30.935

Unit cell a=4.0791 b=4.0791 c=3.8326 alpha=90.00 beta=90.00 gamma=90.00
Space group P4/mmm (No. 123)
Asymmetric unit:
Ta1 0.0000 0.0000 0.0000 [1 per cell]
Zn1 0.0000 0.5000 0.5000 [2 per cell]
Cd1 0.5000 0.5000 0.0000 [1 per cell]



(6)
Computed, not measured: a crystal of TaZnCd2 relaxed with PBEsol at the SCAN level of DFT.

Crystal system: monoclinic
D(E_F) (states/eV per atom): 0.477
Calculated formation energy (eV/atom): 0.284
Calculated total energy (eV/atom): -34.947
Energy relative to the lowest polymorph listed for this composition (eV/f.u.): 0.32

Unit cell a=10.5610 b=2.7824 c=5.0940 alpha=90.00 beta=108.28 gamma=90.00
Space group C2/m (No. 12)
Asymmetric unit:
Ta1 0.0000 0.0000 0.0000 [2 per cell]
Zn1 0.0000 0.5000 0.5000 [2 per cell]
Cd1 0.2375 0.0000 0.7424 [4 per cell]



(7)
Computed, not measured: a crystal of ZrTaCd2 relaxed with PBEsol at the SCAN level of DFT.

Crystal system: orthorhombic
D(E_F) (states/eV per atom): 0.519
Calculated formation energy (eV/atom): 0.134
Calculated total energy (eV/atom): -39.393
Energy relative to the lowest polymorph listed for this composition (eV/f.u.): 0.49

Unit cell a=3.0379 b=4.1391 c=6.2735 alpha=90.00 beta=90.00 gamma=90.00
Space group Pmm2 (No. 25)
Asymmetric unit:
Zr1 0.0000 0.0000 0.0000 [1 per cell]
Ta1 0.5000 0.5000 0.7700 [1 per cell]
Cd1 0.0000 0.0000 0.5133 [1 per cell]
Cd2 0.5000 0.5000 0.2708 [1 per cell]



(8)
Computed, not measured: a crystal of Zr2TaCd relaxed with PBEsol at the SCAN level of DFT.

Crystal system: tetragonal
D(E_F) (states/eV per atom): 0.716
Calculated formation energy (eV/atom): 0.038
Calculated total energy (eV/atom): -39.561

Unit cell a=4.2232 b=4.2232 c=8.9969 alpha=90.00 beta=90.00 gamma=90.00
Space group I-4m2 (No. 119)
Asymmetric unit:
Zr1 0.0000 0.0000 0.0000 [2 per cell]
Zr2 0.0000 0.5000 0.2500 [2 per cell]
Ta1 0.0000 0.5000 0.7500 [2 per cell]
Cd1 0.0000 0.0000 0.5000 [2 per cell]



(9)
Computed, not measured: a crystal of Zr2TaCd relaxed with PBEsol at the SCAN level of DFT.

Crystal system: orthorhombic
D(E_F) (states/eV per atom): 0.957
Calculated formation energy (eV/atom): -0.054
Calculated total energy (eV/atom): -39.652

Unit cell a=3.1260 b=3.7407 c=6.9464 alpha=90.00 beta=90.00 gamma=90.00
Space group Pmmm (No. 47)
Asymmetric unit:
Zr1 0.0000 0.0000 0.2389 [2 per cell]
Ta1 0.5000 0.5000 0.0000 [1 per cell]
Cd1 0.5000 0.5000 0.5000 [1 per cell]



(10)
Computed, not measured: a crystal of Zr2TaCd relaxed with PBEsol at the SCAN level of DFT.

Crystal system: orthorhombic
D(E_F) (states/eV per atom): 0.794
Calculated formation energy (eV/atom): -0.035
Calculated total energy (eV/atom): -39.634

Unit cell a=3.6594 b=4.6369 c=9.5067 alpha=90.00 beta=90.00 gamma=90.00
Space group Cmmm (No. 65)
Asymmetric unit:
Zr1 0.0000 0.0000 0.2363 [4 per cell]
Ta1 0.0000 0.5000 0.0000 [2 per cell]
Cd1 0.0000 0.5000 0.5000 [2 per cell]



(11)
Computed, not measured: a crystal of ZrTaCd2 relaxed with PBEsol at the SCAN level of DFT.

Crystal system: orthorhombic
D(E_F) (states/eV per atom): 0.613
Calculated formation energy (eV/atom): 0.012
Calculated total energy (eV/atom): -39.516
Energy relative to the lowest polymorph listed for this composition (eV/f.u.): 0.00

Unit cell a=3.8828 b=4.3475 c=9.2921 alpha=90.00 beta=90.00 gamma=90.00
Space group Cmm2 (No. 35)
Asymmetric unit:
Zr1 0.0000 0.0000 0.0000 [2 per cell]
Ta1 0.0000 0.5000 0.7573 [2 per cell]
Cd1 0.0000 0.0000 0.5118 [2 per cell]
Cd2 0.0000 0.5000 0.2620 [2 per cell]



(12)
Computed, not measured: a crystal of Zr2TaCd relaxed with PBEsol at the SCAN level of DFT.

Crystal system: cubic
D(E_F) (states/eV per atom): 1.137
Calculated formation energy (eV/atom): 0.216
Calculated total energy (eV/atom): -39.383

Unit cell a=6.8135 b=6.8135 c=6.8135 alpha=90.00 beta=90.00 gamma=90.00
Space group F-43m (No. 216)
Asymmetric unit:
Zr1 0.0000 0.0000 0.0000 [4 per cell]
Zr2 0.2500 0.2500 0.2500 [4 per cell]
Ta1 0.2500 0.2500 0.7500 [4 per cell]
Cd1 0.0000 0.0000 0.5000 [4 per cell]



(13)
Computed, not measured: a crystal of Zr2TaCd relaxed with PBEsol at the SCAN level of DFT.

Crystal system: tetragonal
D(E_F) (states/eV per atom): 1.121
Calculated formation energy (eV/atom): -0.044
Calculated total energy (eV/atom): -39.643

Unit cell a=3.4413 b=3.4413 c=6.8487 alpha=90.00 beta=90.00 gamma=90.00
Space group P4/mmm (No. 123)
Asymmetric unit:
Zr1 0.0000 0.0000 0.2345 [2 per cell]
Ta1 0.5000 0.5000 0.0000 [1 per cell]
Cd1 0.5000 0.5000 0.5000 [1 per cell]



(14)
Computed, not measured: a crystal of CdTcTe2 relaxed with PBEsol at the SCAN level of DFT.

Crystal system: orthorhombic
D(E_F) (states/eV per atom): 0.695
Raw formation energy (meV/atom): 89
Calculated total energy (eV/atom): -34.905

Unit cell a=3.1952 b=4.6948 c=12.4871 alpha=90.00 beta=90.00 gamma=90.00
Space group Immm (No. 71)
Asymmetric unit:
Cd1 0.0000 0.0000 0.0000 [2 per cell]
Tc1 0.0000 0.0000 0.5000 [2 per cell]
Te1 0.0000 0.5000 0.1708 [4 per cell]



(15)
Computed, not measured: a crystal of CdTcTe2 relaxed with PBEsol at the SCAN level of DFT.

Crystal system: tetragonal
D(E_F) (states/eV per atom): 0.595
Raw formation energy (meV/atom): 117
Calculated total energy (eV/atom): -34.877

Unit cell a=3.1833 b=3.1833 c=9.0907 alpha=90.00 beta=90.00 gamma=90.00
Space group P4/mmm (No. 123)
Asymmetric unit:
Cd1 0.0000 0.0000 0.0000 [1 per cell]
Tc1 0.0000 0.0000 0.5000 [1 per cell]
Te1 0.5000 0.5000 0.3164 [2 per cell]



(16)
Computed, not measured: a crystal of CdTc4Te relaxed with PBEsol at the SCAN level of DFT.

Crystal system: cubic
D(E_F) (states/eV per atom): 0.776
Raw formation energy (meV/atom): 562
Calculated total energy (eV/atom): -34.089

Unit cell a=7.3756 b=7.3756 c=7.3756 alpha=90.00 beta=90.00 gamma=90.00
Space group F-43m (No. 216)
Asymmetric unit:
Cd1 0.0000 0.0000 0.0000 [4 per cell]
Tc1 0.1246 0.1246 0.6246 [16 per cell]
Te1 0.2500 0.2500 0.2500 [4 per cell]